1.
VASP calculation (PBE) on a relaxed structure of Li4Al2Ga5.

Cell: 3.9989 6.2820 14.5446 Å, 90.00 90.00 90.00°
Closest atoms and distances in Å follow each position.
Fractional positions:
Li: 0.5000 0.3034 0.9532  3 Li 2.68-2.82, 1 Al 2.79, 8 Ga 2.80-2.89
Li: 0.5000 0.6966 0.0468  3 Li 2.68-2.82, 1 Al 2.79, 8 Ga 2.80-2.89
Li: 0.5000 0.1966 0.4532  3 Li 2.68-2.82, 1 Al 2.79, 8 Ga 2.80-2.89
Li: 0.5000 0.8034 0.5468  3 Li 2.68-2.82, 1 Al 2.79, 8 Ga 2.80-2.89
Li: 0.5000 0.4030 0.6145  2 Al 2.65-2.74, 6 Ga 2.67-2.90, 2 Li 2.68-2.70
Li: 0.5000 0.5970 0.3855  2 Al 2.65-2.74, 6 Ga 2.67-2.90, 2 Li 2.68-2.70
Li: 0.5000 0.0970 0.1145  2 Al 2.65-2.74, 6 Ga 2.67-2.90, 2 Li 2.68-2.70
Li: 0.5000 0.9030 0.8855  2 Al 2.65-2.74, 6 Ga 2.67-2.90, 2 Li 2.68-2.70
Al: 0.5000 0.0289 0.7117  3 Li 2.65-2.79, 6 Ga 2.73-2.92
Al: 0.5000 0.9711 0.2883  3 Li 2.65-2.79, 6 Ga 2.73-2.92
Al: 0.5000 0.4711 0.2117  3 Li 2.65-2.79, 6 Ga 2.73-2.92
Al: 0.5000 0.5289 0.7883  3 Li 2.65-2.79, 6 Ga 2.73-2.92
Ga: 0.0000 0.1008 0.5871  2 Al 2.74, 6 Li 2.79-2.85, 3 Ga 2.81-2.89
Ga: 0.0000 0.8992 0.4129  2 Al 2.74, 6 Li 2.79-2.85, 3 Ga 2.81-2.89
Ga: 0.0000 0.3992 0.0871  2 Al 2.74, 6 Li 2.79-2.85, 3 Ga 2.81-2.89
Ga: 0.0000 0.6008 0.9129  2 Al 2.74, 6 Li 2.79-2.85, 3 Ga 2.81-2.89
Ga: 0.0000 0.1970 0.8173  4 Al 2.73-2.92, 4 Li 2.89-2.90, 2 Ga 2.89-2.93
Ga: 0.0000 0.8030 0.1827  4 Al 2.73-2.92, 4 Li 2.89-2.90, 2 Ga 2.89-2.93
Ga: 0.0000 0.3030 0.3173  4 Al 2.73-2.92, 4 Li 2.89-2.90, 2 Ga 2.89-2.93
Ga: 0.0000 0.6970 0.6827  4 Al 2.73-2.92, 4 Li 2.89-2.90, 2 Ga 2.89-2.93
Ga: 0.0000 0.0000 0.0000  8 Li 2.67-2.84, 4 Ga 2.81-2.93
Ga: 0.0000 0.5000 0.5000  8 Li 2.67-2.84, 4 Ga 2.81-2.93

Its total magnetization is 0.00 Bohr magnetons per cell. The calculated formation energy comes out at -148 meV/atom. As for the symmetry: Pbam (55). For the theoretical density, the calculation gives 3.912 g/cm3. The offset from the most stable computed form is 29 meV/atom.

2.
VASP calculation (PBE) on a relaxed structure of LiZr2W.

Cell: 5.5695 5.5695 2.7211 Å, 82.24 82.24 111.00°
Closest atoms and distances in Å follow each position.
Fractional positions:
Li: 0.5000 0.0000 0.5000  2 Li 2.72, 4 Zr 2.93
W: 0.0000 0.5000 0.5000  2 W 2.72, 4 Zr 2.93
Zr: 0.0000 0.0000 0.0000  2 Zr 2.72, 2 Li 2.93, 2 W 2.93
Zr: 0.5000 0.5000 0.0000  2 Zr 2.72, 2 W 2.93, 2 Li 2.93

Its total magnetization is 0.00 Bohr magnetons per cell. The calculated formation energy comes out at 318 meV/atom. As for the symmetry: C2/m (12). For the theoretical density, the calculation gives 8.099 g/cm3.

3.
VASP calculation (PBE) on a relaxed structure of TmAlHgPd.

Cell: 4.7910 4.7910 4.7910 Å, 60.00 60.00 60.00°
Closest atoms and distances in Å follow each position.
Fractional positions:
Tm: 0.2500 0.2500 0.2500  4 Hg 2.93, 4 Pd 2.93
Hg: 0.5000 0.5000 0.5000  4 Tm 2.93, 4 Al 2.93
Pd: 0.0000 0.0000 0.0000  4 Tm 2.93, 4 Al 2.93
Al: 0.7500 0.7500 0.7500  4 Hg 2.93, 4 Pd 2.93

Its total magnetization is 0.00 Bohr magnetons per cell. The calculated formation energy comes out at -570 meV/atom. As for the symmetry: F-43m (216). For the theoretical density, the calculation gives 10.740 g/cm3.